[1]
Computed, not measured: PrThAl after structural relaxation at the PBE level of DFT.

## Properties
Energy relative to the elements ... -0.06 eV per atom
Calculated total energy ... -32.27 eV per cell
Offset from the most stable computed form ... 53 meV per atom

```
data_PrThAl
_chemical_formula_sum 'Pr2 Th2 Al2'
_cell_length_a 5.3043
_cell_length_b 5.3043
_cell_length_c 7.8635
_cell_angle_alpha 70.29
_cell_angle_beta 70.29
_cell_angle_gamma 60.00
_space_group_name_H-M_alt 'P 1'
_space_group_IT_number 1
loop_
_space_group_symop_operation_xyz
'x,y,z'
loop_
_atom_site_label
_atom_site_type_symbol
_atom_site_fract_x
_atom_site_fract_y
_atom_site_fract_z
_atom_site_occupancy
Pr1 Pr 0.1246 0.1246 0.6263 1
Pr2 Pr 0.8754 0.8754 0.3737 1
Al1 Al 0.4371 0.4371 0.6888 1
Al2 Al 0.5629 0.5629 0.3112 1
Th1 Th 0.7061 0.7061 0.8816 1
Th2 Th 0.2939 0.2939 0.1184 1
```

---

[2]
Computed, not measured: PrThAl4 after structural relaxation at the PBE level of DFT.

## Properties
Energy relative to the elements ... -0.44 eV per atom
Calculated total energy ... -29.84 eV per cell
Offset from the most stable computed form ... 2 meV per atom

```
data_PrThAl4
_chemical_formula_sum 'Pr1 Th1 Al4'
_cell_length_a 5.7063
_cell_length_b 5.7063
_cell_length_c 5.7063
_cell_angle_alpha 60.00
_cell_angle_beta 60.00
_cell_angle_gamma 60.00
_space_group_name_H-M_alt 'P 1'
_space_group_IT_number 1
loop_
_space_group_symop_operation_xyz
'x,y,z'
loop_
_atom_site_label
_atom_site_type_symbol
_atom_site_fract_x
_atom_site_fract_y
_atom_site_fract_z
_atom_site_occupancy
Al1 Al 0.6254 0.6254 0.1237 1
Al2 Al 0.6254 0.1237 0.6254 1
Al3 Al 0.6254 0.6254 0.6254 1
Al4 Al 0.1237 0.6254 0.6254 1
Th1 Th 0.0000 0.0000 0.0000 1
Pr1 Pr 0.2500 0.2500 0.2500 1
```

---

[3]
Computed, not measured: PrTh2Al after structural relaxation at the PBE level of DFT.

## Properties
Energy relative to the elements ... -0.10 eV per atom
Calculated total energy ... -23.77 eV per cell
Offset from the most stable computed form ... 0 meV per atom

```
data_PrTh2Al
_chemical_formula_sum 'Pr1 Th2 Al1'
_cell_length_a 4.9297
_cell_length_b 4.8720
_cell_length_c 4.8720
_cell_angle_alpha 90.00
_cell_angle_beta 90.00
_cell_angle_gamma 90.00
_space_group_name_H-M_alt 'P 1'
_space_group_IT_number 1
loop_
_space_group_symop_operation_xyz
'x,y,z'
loop_
_atom_site_label
_atom_site_type_symbol
_atom_site_fract_x
_atom_site_fract_y
_atom_site_fract_z
_atom_site_occupancy
Pr1 Pr 0.5000 0.5000 0.5000 1
Al1 Al 0.5000 0.0000 0.0000 1
Th1 Th 0.0000 0.0000 0.5000 1
Th2 Th 0.0000 0.5000 0.0000 1
```

---

[4]
Computed, not measured: PrTh2Al6 after structural relaxation at the PBE level of DFT.

## Properties
Energy relative to the elements ... -0.46 eV per atom
Calculated total energy ... -46.18 eV per cell

```
data_PrTh2Al6
_chemical_formula_sum 'Pr1 Th2 Al6'
_cell_length_a 4.1969
_cell_length_b 7.6615
_cell_length_c 7.6615
_cell_angle_alpha 120.00
_cell_angle_beta 90.00
_cell_angle_gamma 90.00
_space_group_name_H-M_alt 'P 1'
_space_group_IT_number 1
loop_
_space_group_symop_operation_xyz
'x,y,z'
loop_
_atom_site_label
_atom_site_type_symbol
_atom_site_fract_x
_atom_site_fract_y
_atom_site_fract_z
_atom_site_occupancy
Al1 Al 0.5000 0.6657 0.0000 1
Al2 Al 0.5000 0.6657 0.6657 1
Al3 Al 0.5000 0.3343 0.3343 1
Al4 Al 0.5000 0.0000 0.3343 1
Al5 Al 0.5000 0.3343 0.0000 1
Al6 Al 0.5000 0.0000 0.6657 1
Th1 Th 0.0000 0.3333 0.6667 1
Th2 Th 0.0000 0.6667 0.3333 1
Pr1 Pr 0.0000 0.0000 0.0000 1
```

---

[5]
Computed, not measured: PrThAl2 after structural relaxation at the PBE level of DFT.

## Properties
Energy relative to the elements ... -0.04 eV per atom
Calculated total energy ... -19.85 eV per cell
Offset from the most stable computed form ... 232 meV per atom

```
data_PrThAl2
_chemical_formula_sum 'Pr1 Th1 Al2'
_cell_length_a 3.7484
_cell_length_b 3.7484
_cell_length_c 9.5433
_cell_angle_alpha 78.67
_cell_angle_beta 78.67
_cell_angle_gamma 60.00
_space_group_name_H-M_alt 'P 1'
_space_group_IT_number 1
loop_
_space_group_symop_operation_xyz
'x,y,z'
loop_
_atom_site_label
_atom_site_type_symbol
_atom_site_fract_x
_atom_site_fract_y
_atom_site_fract_z
_atom_site_occupancy
Th1 Th 0.0000 0.0000 0.0000 1
Pr1 Pr 0.5000 0.5000 0.5000 1
Al1 Al 0.7497 0.7497 0.7510 1
Al2 Al 0.2503 0.2503 0.2490 1
```

---

[6]
Computed, not measured: PrTh2Al after structural relaxation at the PBE level of DFT.

## Properties
Energy relative to the elements ... 0.18 eV per atom
Calculated total energy ... -22.63 eV per cell
Offset from the most stable computed form ... 286 meV per atom

```
data_PrTh2Al
_chemical_formula_sum 'Pr1 Th2 Al1'
_cell_length_a 3.4043
_cell_length_b 3.4043
_cell_length_c 12.1723
_cell_angle_alpha 81.96
_cell_angle_beta 81.96
_cell_angle_gamma 60.00
_space_group_name_H-M_alt 'P 1'
_space_group_IT_number 1
loop_
_space_group_symop_operation_xyz
'x,y,z'
loop_
_atom_site_label
_atom_site_type_symbol
_atom_site_fract_x
_atom_site_fract_y
_atom_site_fract_z
_atom_site_occupancy
Th1 Th 0.9046 0.9046 0.2862 1
Th2 Th 0.0954 0.0954 0.7138 1
Pr1 Pr 0.0000 0.0000 0.0000 1
Al1 Al 0.5000 0.5000 0.5000 1
```

---

[7]
Computed, not measured: PrThAl6 after structural relaxation at the PBE level of DFT.

## Properties
Energy relative to the elements ... -0.43 eV per atom
Calculated total energy ... -38.11 eV per cell

```
data_PrThAl6
_chemical_formula_sum 'Pr1 Th1 Al6'
_cell_length_a 4.6618
_cell_length_b 6.5111
_cell_length_c 6.5111
_cell_angle_alpha 119.96
_cell_angle_beta 90.00
_cell_angle_gamma 90.00
_space_group_name_H-M_alt 'P 1'
_space_group_IT_number 1
loop_
_space_group_symop_operation_xyz
'x,y,z'
loop_
_atom_site_label
_atom_site_type_symbol
_atom_site_fract_x
_atom_site_fract_y
_atom_site_fract_z
_atom_site_occupancy
Al1 Al 0.5000 0.8902 0.5307 1
Al2 Al 0.5000 0.4693 0.1098 1
Al3 Al 0.0000 0.6097 0.3903 1
Al4 Al 0.0000 0.6100 0.9698 1
Al5 Al 0.5000 0.8904 0.1096 1
Al6 Al 0.0000 0.0302 0.3900 1
Pr1 Pr 0.0000 0.0834 0.9166 1
Th1 Th 0.5000 0.4165 0.5835 1
```

---

[8]
Computed, not measured: Pr3ThAl8 after structural relaxation at the PBE level of DFT.

## Properties
Energy relative to the elements ... -0.47 eV per atom
Calculated total energy ... -57.33 eV per cell
Offset from the most stable computed form ... 0 meV per atom

```
data_Pr3ThAl8
_chemical_formula_sum 'Pr3 Th1 Al8'
_cell_length_a 5.7215
_cell_length_b 5.7215
_cell_length_c 9.8620
_cell_angle_alpha 73.14
_cell_angle_beta 73.14
_cell_angle_gamma 60.00
_space_group_name_H-M_alt 'P 1'
_space_group_IT_number 1
loop_
_space_group_symop_operation_xyz
'x,y,z'
loop_
_atom_site_label
_atom_site_type_symbol
_atom_site_fract_x
_atom_site_fract_y
_atom_site_fract_z
_atom_site_occupancy
Al1 Al 0.9373 0.9373 0.6864 1
Al2 Al 0.1874 0.1874 0.4378 1
Al3 Al 0.4369 0.4369 0.1890 1
Al4 Al 0.9373 0.4369 0.1890 1
Al5 Al 0.4390 0.9373 0.6864 1
Al6 Al 0.4369 0.9373 0.1890 1
Al7 Al 0.6878 0.6878 0.9365 1
Al8 Al 0.9373 0.4390 0.6864 1
Pr1 Pr 0.3744 0.3744 0.8767 1
Pr2 Pr 0.0005 0.0005 0.9984 1
Pr3 Pr 0.5000 0.5000 0.5001 1
Th1 Th 0.8752 0.8752 0.3745 1
```

---

[9]
Computed, not measured: PrThAlTl after structural relaxation at the PBE level of DFT.

## Properties
Energy relative to the elements ... -0.19 eV per atom
Calculated total energy ... -19.06 eV per cell

```
data_PrThAlTl
_chemical_formula_sum 'Pr1 Th1 Al1 Tl1'
_cell_length_a 5.4352
_cell_length_b 5.4352
_cell_length_c 5.4352
_cell_angle_alpha 60.00
_cell_angle_beta 60.00
_cell_angle_gamma 60.00
_space_group_name_H-M_alt 'P 1'
_space_group_IT_number 1
loop_
_space_group_symop_operation_xyz
'x,y,z'
loop_
_atom_site_label
_atom_site_type_symbol
_atom_site_fract_x
_atom_site_fract_y
_atom_site_fract_z
_atom_site_occupancy
Pr1 Pr 0.2500 0.2500 0.2500 1
Al1 Al 0.5000 0.5000 0.5000 1
Tl1 Tl 0.0000 0.0000 0.0000 1
Th1 Th 0.7500 0.7500 0.7500 1
```

---

[10]
Computed, not measured: PrTmThAl after structural relaxation at the PBE level of DFT.

## Properties
Energy relative to the elements ... -0.01 eV per atom
Calculated total energy ... -20.47 eV per cell

```
data_PrTmThAl
_chemical_formula_sum 'Pr1 Tm1 Th1 Al1'
_cell_length_a 5.4385
_cell_length_b 5.4385
_cell_length_c 5.4385
_cell_angle_alpha 60.00
_cell_angle_beta 60.00
_cell_angle_gamma 60.00
_space_group_name_H-M_alt 'P 1'
_space_group_IT_number 1
loop_
_space_group_symop_operation_xyz
'x,y,z'
loop_
_atom_site_label
_atom_site_type_symbol
_atom_site_fract_x
_atom_site_fract_y
_atom_site_fract_z
_atom_site_occupancy
Pr1 Pr 0.5000 0.5000 0.5000 1
Tm1 Tm 0.7500 0.7500 0.7500 1
Th1 Th 0.0000 0.0000 0.0000 1
Al1 Al 0.2500 0.2500 0.2500 1
```

---

- Which formula does entry 4 have?
  PrTh2Al6

---

- Which value of energy relative to the elements does entry 2 give?
  -0.44 eV per atom

---

- The lowest calculated total energy belongs to which entry?
  Pr3ThAl8